Compound: Fe3HO
Source: Alexandria via LeMat-Bulk
Functional: PBE+U
Structure: relaxed

Results
DFT total energy: -4.581 eV per atom
total magnetic moment: 9.5 μB/cell

a b c (Å): 3.7674 3.7674 3.7674
angles (deg): 90.00 90.00 90.00
With the nearest neighbours (Å) after each atom.
Fractional coordinates of all 5 atoms:
Fe: 0.0000 0.0000 0.5000  2 H 1.88
Fe: 0.0000 0.5000 0.0000  2 H 1.88
Fe: 0.5000 0.0000 0.0000  2 H 1.88
H: 0.0000 0.0000 0.0000  6 Fe 1.88
O: 0.5000 0.5000 0.5000  12 Fe 2.66


Compound: FeHO2
Source: Alexandria via LeMat-Bulk
Functional: PBE+U
Structure: relaxed

Results
DFT total energy: -5.530 eV per atom
total magnetic moment: 10.0 μB/cell

a b c (Å): 8.2493 8.2493 4.0419
angles (deg): 90.00 90.00 161.61
With the nearest neighbours (Å) after each atom.
Fractional coordinates of all 8 atoms:
Fe: 0.1919 0.8081 0.7500  1 H 1.98, 6 O 1.99-2.06
Fe: 0.8081 0.1919 0.2500  1 H 1.98, 6 O 1.99-2.06
H: 0.0701 0.9299 0.7500  2 O 1.38
H: 0.9299 0.0701 0.2500  2 O 1.38
O: 0.2165 0.7835 0.2500  4 Fe 1.99-2.06
O: 0.4057 0.5943 0.2500  2 H 1.38
O: 0.5943 0.4057 0.7500  2 H 1.38
O: 0.7835 0.2165 0.7500  4 Fe 1.99-2.06


Compound: Fe8H10O17
Source: Alexandria via LeMat-Bulk
Functional: PBE+U
Structure: relaxed

Results
DFT total energy: -5.728 eV per atom
total magnetic moment: 19.9 μB/cell
polymorph energy (0 for the lowest one): 30 meV/atom

a b c (Å): 6.0391 10.3241 10.5774
angles (deg): 88.77 89.95 89.94
With the nearest neighbours (Å) after each atom.
Fractional coordinates of all 70 atoms:
Fe: 0.0000 0.0000 0.0000  6 O 1.89-2.09
Fe: 0.0010 0.4811 0.1724  6 O 1.91-2.07
Fe: 0.0062 0.3047 0.6621  6 O 1.90-2.03
Fe: 0.1583 0.1254 0.4601  5 O 1.93-2.12
Fe: 0.2356 0.7833 0.1803  4 O 1.93-2.14
Fe: 0.2451 0.5046 0.4679  4 O 1.92-2.15
Fe: 0.2505 0.3016 0.9675  6 O 1.92-2.11
Fe: 0.4658 0.8261 0.4556  4 O 1.86-1.99
Fe: 0.4766 0.2951 0.6619  6 O 1.93-2.14
Fe: 0.4995 0.4834 0.1729  5 O 1.93-2.11
Fe: 0.5043 0.9970 0.0005  6 O 1.89-2.08
Fe: 0.7453 0.4915 0.4642  4 O 1.89-2.06
Fe: 0.7480 0.7939 0.1767  3 O 1.89-2.03
Fe: 0.7495 0.2880 0.9792  5 O 1.90-2.12
Fe: 0.7821 0.0058 0.6666  3 O 1.85-1.97
Fe: 0.9874 0.8141 0.4812  5 O 1.93-2.01
H: 0.0273 0.5055 0.9208  1 O 0.97
H: 0.0463 0.5720 0.6601  1 O 0.97
H: 0.0879 0.8531 0.7242  1 O 0.98
H: 0.2597 0.8733 0.8958  1 O 0.98
H: 0.2644 0.0494 0.1925  1 O 1.02
H: 0.2764 0.2750 0.2221  1 O 1.03
H: 0.3879 0.0669 0.7321  1 O 0.99
H: 0.4924 0.1451 0.3096  1 O 0.98
H: 0.4925 0.5023 0.9116  1 O 0.97
H: 0.4970 0.5607 0.6745  1 O 0.98
H: 0.4979 0.7568 0.7527  1 O 0.98
H: 0.5366 0.7416 0.9654  1 O 0.98
H: 0.7239 0.6794 0.5894  1 O 0.98
H: 0.7526 0.4230 0.7798  1 O 0.98
H: 0.7594 0.7426 0.7513  1 O 1.03
H: 0.7644 0.8809 0.8732  1 O 0.98
H: 0.7830 0.2775 0.2320  1 O 0.99
H: 0.7853 0.2405 0.4674  1 O 1.05
H: 0.7982 0.0697 0.3854  1 O 0.99
H: 0.9990 0.7239 0.9819  1 O 0.97
O: 0.0041 0.4359 0.9825  1 H 0.97
O: 0.0069 0.1822 0.9819  3 Fe 1.89-1.92
O: 0.0104 0.1224 0.6417  2 Fe 1.85-1.90
O: 0.2185 0.9429 0.4839  3 Fe 1.93-1.95
O: 0.2378 0.3002 0.5314  4 Fe 1.97-2.20
O: 0.2391 0.6954 0.5023  3 Fe 1.96-2.01
O: 0.2428 0.3168 0.7848  3 Fe 1.93-1.94
O: 0.2441 0.5998 0.1495  3 Fe 1.92-1.97
O: 0.2490 0.9856 0.1212  1 H 1.02
O: 0.2524 0.9664 0.8756  1 H 0.98
O: 0.2545 0.3518 0.1597  1 H 1.03
O: 0.3315 0.1510 0.3033  1 H 0.98
O: 0.4929 0.4915 0.6130  1 H 0.98
O: 0.4941 0.8041 0.0291  1 H 0.98
O: 0.4951 0.1796 0.9808  3 Fe 1.89-1.94
O: 0.4947 0.4807 0.3584  3 Fe 1.89-1.96
O: 0.4961 0.8103 0.2812  3 Fe 1.86-1.93
O: 0.4987 0.4314 0.9733  1 H 0.97
O: 0.5017 0.1030 0.6743  1 H 0.99
O: 0.6153 0.6975 0.7805  2 H 0.98-1.03
O: 0.7277 0.9322 0.5008  1 H 1.90, 3 Fe 1.95-2.00
O: 0.7359 0.6868 0.4975  1 H 0.98
O: 0.7475 0.5994 0.1517  3 Fe 1.93-2.03
O: 0.7516 0.3076 0.5382  1 H 1.05
O: 0.7518 0.9752 0.8655  1 H 0.98
O: 0.7520 0.9898 0.1103  2 Fe 1.89-1.90
O: 0.7535 0.3283 0.7832  1 H 0.98
O: 0.7593 0.3468 0.1670  1 H 0.99
O: 0.8735 0.1540 0.3712  1 H 0.99
O: 0.9508 0.8246 0.6840  1 H 0.98
O: 0.9898 0.8052 0.2955  3 Fe 1.93-1.97
O: 0.9922 0.4962 0.6165  1 H 0.97
O: 0.9965 0.8014 0.0322  1 H 0.97
O: 0.9970 0.4827 0.3527  3 Fe 1.91-1.95